Computed, not measured: crystalline KGaHgI2 at its relaxed geometry at the PBE-GGA level of DFT. Values from VASP.

Structure (Quantum ESPRESSO input):
```
&SYSTEM
  ibrav = 0, nat = 5, ntyp = 4
/
ATOMIC_SPECIES
K 39.10 K.upf
Ga 69.72 Ga.upf
Hg 200.59 Hg.upf
I 126.90 I.upf
CELL_PARAMETERS angstrom
6.203 0.000 0.000
0.000 6.203 0.000
0.000 0.000 5.303
ATOMIC_POSITIONS crystal
K 0.000 0.000 0.000
Ga 0.500 0.500 0.500
Hg 0.500 0.500 0.000
I 0.000 0.500 0.500
I 0.500 0.000 0.500
```

Output
* ρ: 4.58 Mg/m³
* E_form (uncorrected): -0.66 eV per atom
* DOS at the Fermi energy: 0.6 states/eV/cell
* total magnetic moment: 0.0 μB per cell

***

Computed, not measured: crystalline La2TiF2 at its relaxed geometry at the PBE-GGA level of DFT. Values from VASP.

Structure (Quantum ESPRESSO input):
```
&SYSTEM
  ibrav = 0, nat = 5, ntyp = 3
/
ATOMIC_SPECIES
La 138.91 La.upf
Ti 47.87 Ti.upf
F 19.00 F.upf
CELL_PARAMETERS angstrom
-1.948 1.948 7.439
1.948 -1.948 7.439
1.948 1.948 -7.439
ATOMIC_POSITIONS crystal
La 0.137 0.137 0.000
La 0.863 0.863 0.000
Ti 0.500 0.500 0.000
F 0.250 0.750 0.500
F 0.750 0.250 0.500
```

Output
* ρ: 5.35 Mg/m³
* E_form (uncorrected): -1.86 eV per atom
* DOS at the Fermi energy: 5.7 states/eV/cell
* total magnetic moment: 4.5 μB per cell
* energy above the most stable polymorph in this dataset: 0 meV/atom

***

Computed, not measured: crystalline IrC2 at its relaxed geometry at the PBE-GGA level of DFT. Values from VASP.

Structure (Quantum ESPRESSO input):
```
&SYSTEM
  ibrav = 0, nat = 6, ntyp = 2
/
ATOMIC_SPECIES
Ir 192.22 Ir.upf
C 12.01 C.upf
CELL_PARAMETERS angstrom
-2.280 2.280 2.628
2.280 -2.280 2.628
2.280 2.280 -2.628
ATOMIC_POSITIONS crystal
Ir 0.250 0.250 0.000
Ir 0.750 0.750 0.000
C 0.113 0.613 0.726
C 0.387 0.113 0.500
C 0.613 0.887 0.500
C 0.887 0.387 0.274
```

Output
* energy relative to the elements: 1.42 eV/atom
* ρ: 13.14 Mg/m³
* DOS at the Fermi energy: 1.9 states/eV/cell
* total magnetic moment: 0.0 μB per cell
* energy above the most stable polymorph in this dataset: 829 meV/atom

***

Computed, not measured: crystalline NbAl4Fe at its relaxed geometry at the PBE-GGA level of DFT. Values from VASP.

Structure (Quantum ESPRESSO input):
```
&SYSTEM
  ibrav = 0, nat = 12, ntyp = 3
/
ATOMIC_SPECIES
Nb 92.91 Nb.upf
Al 26.98 Al.upf
Fe 55.84 Fe.upf
CELL_PARAMETERS angstrom
-2.451 3.178 5.971
2.451 -3.178 5.971
2.451 3.178 -5.971
ATOMIC_POSITIONS crystal
Nb 0.216 0.216 0.000
Nb 0.784 0.784 0.000
Al 0.093 0.381 0.712
Al 0.192 0.000 0.192
Al 0.326 0.826 0.500
Al 0.331 0.619 0.712
Al 0.669 0.381 0.288
Al 0.674 0.174 0.500
Al 0.808 0.000 0.808
Al 0.907 0.619 0.288
Fe 0.500 0.274 0.774
Fe 0.500 0.726 0.226
```

Output
* energy relative to the elements: -0.13 eV/atom
* ρ: 4.58 Mg/m³
* DOS at the Fermi energy: 9.3 states/eV/cell
* total magnetic moment: 1.8 μB per cell

***

Computed, not measured: crystalline PuMn4V at its relaxed geometry at the PBE-GGA level of DFT. Values from VASP.

Structure (Quantum ESPRESSO input):
```
&SYSTEM
  ibrav = 0, nat = 6, ntyp = 3
/
ATOMIC_SPECIES
Pu 244.00 Pu.upf
Mn 54.94 Mn.upf
V 50.94 V.upf
CELL_PARAMETERS angstrom
0.000 3.432 3.432
3.432 0.000 3.432
3.432 3.432 0.000
ATOMIC_POSITIONS crystal
Pu 0.000 0.000 0.000
Mn 0.128 0.624 0.624
Mn 0.624 0.128 0.624
Mn 0.624 0.624 0.128
Mn 0.624 0.624 0.624
V 0.250 0.250 0.250
```

Output
* energy relative to the elements: 0.18 eV/atom
* ρ: 10.57 Mg/m³
* DOS at the Fermi energy: 9.9 states/eV/cell
* total magnetic moment: 4.6 μB per cell

***

Computed, not measured: crystalline CsZnAu at its relaxed geometry at the PBE-GGA level of DFT. Values from VASP.

Structure (Quantum ESPRESSO input):
```
&SYSTEM
  ibrav = 0, nat = 3, ntyp = 3
/
ATOMIC_SPECIES
Cs 132.91 Cs.upf
Zn 65.41 Zn.upf
Au 196.97 Au.upf
CELL_PARAMETERS angstrom
4.598 0.000 0.000
-2.299 3.982 0.000
0.000 0.000 5.514
ATOMIC_POSITIONS crystal
Cs 0.000 0.000 0.000
Zn 0.333 0.667 0.500
Au 0.667 0.333 0.500
```

Output
* energy relative to the elements: -0.20 eV/atom
* ρ: 6.50 Mg/m³
* DOS at the Fermi energy: 0.8 states/eV/cell
* total magnetic moment: 0.0 μB per cell
* energy above the most stable polymorph in this dataset: 25 meV/atom

***

Question: What is the formula in the first record?
Answer: KGaHgI2